No. 1
NaEuGa2 PBE optimized geometry; crystal system = trigonal; theoretical density = 4.9 g/cm3; ΔE to the lowest computed polymorph = 227.2 meV/atom; E_form = -0.010 eV/atom; total moment = 7.2 μB/f.u.
1.0
3.5133 0.0000 0.0000
-1.7567 3.0426 0.0000
0.0000 0.0000 29.9487
Na Eu Ga
3 3 6
Direct
0.0000 0.0000 0.0000 Na
0.3333 0.6667 0.6667 Na
0.6667 0.3333 0.3333 Na
0.0000 0.0000 0.5000 Eu
0.3333 0.6667 0.1667 Eu
0.6667 0.3333 0.8333 Eu
0.0000 0.0000 0.2498 Ga
0.0000 0.0000 0.7502 Ga
0.3333 0.6667 0.4169 Ga
0.3333 0.6667 0.9165 Ga
0.6667 0.3333 0.0835 Ga
0.6667 0.3333 0.5831 Ga



No. 2
U2I5F PBE optimized geometry; crystal system = orthorhombic; theoretical density = 5.8 g/cm3; formation energy without anion corrections = -8.57 eV/f.u.; total moment = 6.0 μB/f.u.
1.0
1.8809 -7.9892 0.0000
1.8809 7.9892 0.0000
0.0000 0.0000 21.4885
U I F
4 10 2
Direct
0.2448 0.7552 0.6712 U
0.2448 0.7552 0.8288 U
0.7552 0.2448 0.1712 U
0.7552 0.2448 0.3288 U
0.1109 0.8891 0.1243 I
0.1109 0.8891 0.3757 I
0.3415 0.6585 0.0752 I
0.3415 0.6585 0.4248 I
0.3956 0.6044 0.2500 I
0.6044 0.3956 0.7500 I
0.6585 0.3415 0.5752 I
0.6585 0.3415 0.9248 I
0.8891 0.1109 0.6243 I
0.8891 0.1109 0.8757 I
0.2120 0.7880 0.2500 F
0.7880 0.2120 0.7500 F



No. 3
Dy2CdGe4Pd3 PBE optimized geometry; crystal system = tetragonal; theoretical density = 9.0 g/cm3; E_form = -0.654 eV/atom; total moment = 0.0 μB/f.u.
1.0
4.1788 0.0000 0.0000
0.0000 4.1788 0.0000
0.0000 0.0000 11.0662
Dy Cd Ge Pd
2 1 4 3
Direct
0.0000 0.5000 0.2478 Dy
0.5000 0.0000 0.7522 Dy
0.0000 0.0000 0.5000 Cd
0.0000 0.0000 0.0000 Ge
0.0000 0.5000 0.6506 Ge
0.5000 0.0000 0.3494 Ge
0.5000 0.5000 0.0000 Ge
0.0000 0.5000 0.8696 Pd
0.5000 0.0000 0.1304 Pd
0.5000 0.5000 0.5000 Pd



The lowest total moment belongs to which entry?
Dy2CdGe4Pd3